## Al3Re (SCAN)

Data for a crystal of Al3Re relaxed with PBEsol. Values from VASP.

## Properties
Space group: P4/mmm
Calculated total energy (eV per formula unit): -95.59
Calculated volume (Å³/f.u.): 59
Theoretical density (g cm⁻³): 7.56

```
&SYSTEM
  ibrav = 0, nat = 4, ntyp = 2
/
ATOMIC_SPECIES
Re 186.21 Re.upf
Al 26.98 Al.upf
CELL_PARAMETERS angstrom
-2.255 2.397 0.289
-1.314 -0.887 -2.899
-3.294 -3.404 2.534
ATOMIC_POSITIONS crystal
Re 0.500 0.500 0.500
Al 0.000 0.000 0.737
Al 0.000 0.000 0.263
Al 0.500 0.500 0.000
```